No. 1
Here is a relaxed Nd3Er6TmTh2 crystal from Alexandria. Energies are from PBE.

Geometry as CIF:
```
data_Nd3Er6TmTh2
_chemical_formula_sum 'Nd6 Er12 Tm2 Th4'
_cell_length_a 6.175
_cell_length_b 10.690
_cell_length_c 11.739
_cell_angle_alpha 90.00
_cell_angle_beta 100.10
_cell_angle_gamma 90.00
_symmetry_space_group_name_H-M 'C 1 2/m 1'
_symmetry_Int_Tables_number 12
loop_
_symmetry_equiv_pos_as_xyz
'x,y,z'
'-x,-y,-z'
'-x,y,-z'
'x,-y,z'
'x+1/2,y+1/2,z'
'-x+1/2,-y+1/2,-z'
'-x+1/2,y+1/2,-z'
'x+1/2,-y+1/2,z'
loop_
_atom_site_label
_atom_site_type_symbol
_atom_site_fract_x
_atom_site_fract_y
_atom_site_fract_z
_atom_site_occupancy
Nd1 Nd 0.000 0.000 0.000 1
Nd2 Nd 0.000 0.334 0.000 1
Er1 Er 0.244 0.000 0.745 1
Er2 Er 0.250 0.168 0.255 1
Tm1 Tm 0.000 0.500 0.500 1
Th1 Th 0.000 0.167 0.500 1
```

Calculated values
DFT formation energy ... 1.64 kJ per mole of atoms
Uncorrected energy ... -5.0657 eV/atom
Total moment ... 0.00 μB/cell



No. 2
Here is a relaxed NdEr5Tm2Th crystal from Alexandria. Energies are from PBE.

Geometry as CIF:
```
data_NdEr5Tm2Th
_chemical_formula_sum 'Nd4 Er20 Tm8 Th4'
_cell_length_a 5.679
_cell_length_b 21.118
_cell_length_c 9.652
_cell_angle_alpha 90.00
_cell_angle_beta 90.00
_cell_angle_gamma 90.00
_symmetry_space_group_name_H-M 'C m c 21'
_symmetry_Int_Tables_number 36
loop_
_symmetry_equiv_pos_as_xyz
'x,y,z'
'-x,-y,z+1/2'
'-x,y,z'
'x,-y,z+1/2'
'x+1/2,y+1/2,z'
'-x+1/2,-y+1/2,z+1/2'
'-x+1/2,y+1/2,z'
'x+1/2,-y+1/2,z+1/2'
loop_
_atom_site_label
_atom_site_type_symbol
_atom_site_fract_x
_atom_site_fract_y
_atom_site_fract_z
_atom_site_occupancy
Nd1 Nd 0.000 0.096 0.000 1
Er1 Er 0.000 0.029 0.681 1
Er2 Er 0.000 0.107 0.386 1
Er3 Er 0.000 0.194 0.706 1
Er4 Er 0.000 0.233 0.087 1
Er5 Er 0.000 0.486 0.405 1
Tm1 Tm 0.000 0.366 0.717 1
Tm2 Tm 0.000 0.388 0.099 1
Th1 Th 0.000 0.309 0.398 1
```

Calculated values
DFT formation energy ... 16.24 kJ per mole of atoms
Uncorrected energy ... -4.7145 eV/atom
Total moment ... 0.00 μB/cell



No. 3
Here is a relaxed NdErTmTh crystal from Alexandria. Energies are from PBE.

Geometry as CIF:
```
data_NdErTmTh
_chemical_formula_sum 'Nd4 Er4 Tm4 Th4'
_cell_length_a 8.023
_cell_length_b 8.023
_cell_length_c 8.023
_cell_angle_alpha 90.00
_cell_angle_beta 90.00
_cell_angle_gamma 90.00
_symmetry_space_group_name_H-M 'F -4 3 m'
_symmetry_Int_Tables_number 216
_symmetry_space_group_name_Hall 'F -4 2 3'
loop_
_atom_site_label
_atom_site_type_symbol
_atom_site_fract_x
_atom_site_fract_y
_atom_site_fract_z
_atom_site_occupancy
Nd1 Nd 0.000 0.000 0.000 1
Er1 Er 0.250 0.250 0.750 1
Tm1 Tm 0.250 0.250 0.250 1
Th1 Th 0.000 0.000 0.500 1
```

Calculated values
DFT formation energy ... 11.74 kJ per mole of atoms
Polymorph energy (0 for the lowest one) ... 105.9 meV/atom
Uncorrected energy ... -5.1838 eV/atom
Total moment ... 0.00 μB/cell



No. 4
Here is a relaxed NdErTmTh crystal from Alexandria. Energies are from PBE.

Geometry as CIF:
```
data_NdErTmTh
_chemical_formula_sum 'Nd3 Er3 Tm3 Th3'
_cell_length_a 3.5841
_cell_length_b 3.5841
_cell_length_c 34.4860
_cell_angle_alpha 90.00
_cell_angle_beta 90.00
_cell_angle_gamma 120.00
_symmetry_space_group_name_H-M 'R 3 m'
_symmetry_Int_Tables_number 160
_symmetry_space_group_name_Hall 'R 3 -2"'
loop_
_atom_site_label
_atom_site_type_symbol
_atom_site_fract_x
_atom_site_fract_y
_atom_site_fract_z
_atom_site_occupancy
Nd1 Nd 0.0000 0.0000 0.0000 1
Er1 Er 0.0000 0.0000 0.2478 1
Tm1 Tm 0.0000 0.0000 0.4195 1
Th1 Th 0.0000 0.0000 0.8337 1
```

Calculated values
DFT formation energy ... 1.52 kJ per mole of atoms
Polymorph energy (0 for the lowest one) ... 0.0 meV/atom
Uncorrected energy ... -5.2897 eV/atom
Total moment ... 0.00 μB/cell



No. 5
Here is a relaxed Nd2ErTm2Th2 crystal from Alexandria. Energies are from PBE.

Geometry as CIF:
```
data_Nd2ErTm2Th2
_chemical_formula_sum 'Nd4 Er2 Tm4 Th4'
_cell_length_a 17.667
_cell_length_b 3.477
_cell_length_c 8.469
_cell_angle_alpha 90.00
_cell_angle_beta 116.59
_cell_angle_gamma 90.00
_symmetry_space_group_name_H-M 'C 1 2/m 1'
_symmetry_Int_Tables_number 12
loop_
_symmetry_equiv_pos_as_xyz
'x,y,z'
'-x,-y,-z'
'-x,y,-z'
'x,-y,z'
'x+1/2,y+1/2,z'
'-x+1/2,-y+1/2,-z'
'-x+1/2,y+1/2,-z'
'x+1/2,-y+1/2,z'
loop_
_atom_site_label
_atom_site_type_symbol
_atom_site_fract_x
_atom_site_fract_y
_atom_site_fract_z
_atom_site_occupancy
Nd1 Nd 0.076 0.000 0.411 1
Er1 Er 0.000 0.500 0.000 1
Tm1 Tm 0.148 0.000 0.895 1
Th1 Th 0.219 0.500 0.299 1
```

Calculated values
DFT formation energy ... 15.96 kJ per mole of atoms
Uncorrected energy ... -5.2462 eV/atom
Total moment ... 0.00 μB/cell



No. 6
Here is a relaxed Nd2ErTm5Th crystal from Alexandria. Energies are from PBE.

Geometry as CIF:
```
data_Nd2ErTm5Th
_chemical_formula_sum 'Nd8 Er4 Tm20 Th4'
_cell_length_a 8.657
_cell_length_b 8.657
_cell_length_c 15.257
_cell_angle_alpha 90.00
_cell_angle_beta 90.00
_cell_angle_gamma 90.00
_symmetry_space_group_name_H-M 'I 4/m c m'
_symmetry_Int_Tables_number 140
_symmetry_space_group_name_Hall '-I 4 2c'
loop_
_atom_site_label
_atom_site_type_symbol
_atom_site_fract_x
_atom_site_fract_y
_atom_site_fract_z
_atom_site_occupancy
Nd1 Nd 0.116 0.384 0.000 1
Er1 Er 0.000 0.500 0.250 1
Tm1 Tm 0.000 0.000 0.000 1
Tm2 Tm 0.213 0.287 0.360 1
Th1 Th 0.000 0.000 0.250 1
```

Calculated values
DFT formation energy ... 28.61 kJ per mole of atoms
Uncorrected energy ... -4.5785 eV/atom
Total moment ... 0.01 μB/cell



> Which formula does entry 4 have?

NdErTmTh